A relaxed GeBP2 crystal. Source: Alexandria via LeMat-Bulk, functional PBE-GGA.

## Properties
**V**: 55.0 Å³ per cell
**Crystal system**: cubic
**ΔH_f (0 K)**: 1.165 eV per atom
**DOS(E_F)**: 1.82 states/eV per cell

```
data_GeBP2
_chemical_formula_sum 'Ge1 B1 P2'
_space_group_name_H-M_alt 'P 1'
_space_group_IT_number 1
_cell_length_a 4.270
_cell_length_b 4.270
_cell_length_c 4.270
_cell_angle_alpha 60.00
_cell_angle_beta 60.00
_cell_angle_gamma 60.00
loop_
_space_group_symop_operation_xyz
'x,y,z'
loop_
_atom_site_label
_atom_site_type_symbol
_atom_site_fract_x
_atom_site_fract_y
_atom_site_fract_z
Ge1 Ge 0.000 0.000 0.000
B1 B 0.500 0.500 0.500
P1 P 0.250 0.250 0.250
P2 P 0.750 0.750 0.750
```